Arrangement a

## MnBeSbN (PBE)

Data for MnBeSbN after structural relaxation.

Values from the calculation:
As for the crystal system: trigonal.

Unit cell a=2.9965 b=2.9965 c=19.3598 alpha=90.00 beta=90.00 gamma=120.00
Space group R3m (No. 160, hexagonal axes)
Inequivalent atoms, fractional coordinates:
Mn (0.0000, 0.0000, 0.0000)
Be (0.0000, 0.0000, 0.4179)
Sb (0.0000, 0.0000, 0.5620)
N (0.0000, 0.0000, 0.7317)

Arrangement b

## MnBeSbN (PBE)

Data for MnBeSbN after structural relaxation.

Values from the calculation:
As for the crystal system: orthorhombic.

Unit cell a=3.047 b=3.208 c=12.947 alpha=90.00 beta=90.00 gamma=90.00
Space group Amm2 (No. 38)
Inequivalent atoms, fractional coordinates:
Mn (0.000, 0.000, 0.000)
Be (0.500, 0.000, 0.623)
Sb (0.500, 0.000, 0.822)
N (0.000, 0.000, 0.581)

arrangement b is favored, and the nearest alternative lies 128 meV per atom above it.

Arrangement a

## MnBeSbN (PBE)

Data for MnBeSbN after structural relaxation.

Values from the calculation:
As for the crystal system: monoclinic.

Unit cell a=13.091 b=2.797 c=3.851 alpha=90.00 beta=106.93 gamma=90.00
Space group Cm (No. 8)
Inequivalent atoms, fractional coordinates:
Mn (0.000, 0.000, 0.000)
Be (0.178, 0.000, 0.177)
Sb (0.379, 0.000, 0.381)
N (0.114, 0.500, 0.113)

Arrangement b

## MnBeSbN (PBE)

Data for MnBeSbN after structural relaxation.

Values from the calculation:
As for the crystal system: orthorhombic.

Unit cell a=3.037 b=3.182 c=6.287 alpha=90.00 beta=90.00 gamma=90.00
Space group Pmm2 (No. 25)
Inequivalent atoms, fractional coordinates:
Mn (0.000, 0.000, 0.000)
Be (0.500, 0.500, 0.271)
Sb (0.500, 0.000, 0.626)
N (0.000, 0.500, 0.176)

Arrangement c

## MnBeSbN (PBE)

Data for MnBeSbN after structural relaxation.

Values from the calculation:
As for the crystal system: trigonal.

Unit cell a=2.9416 b=2.9416 c=20.6025 alpha=90.00 beta=90.00 gamma=120.00
Space group R3m (No. 160, hexagonal axes)
Inequivalent atoms, fractional coordinates:
Mn (0.0000, 0.0000, 0.0000)
Be (0.0000, 0.0000, 0.7450)
Sb (0.0000, 0.0000, 0.8751)
N (0.0000, 0.0000, 0.3881)

Arrangement d

## MnBeSbN (PBE)

Data for MnBeSbN after structural relaxation.

Values from the calculation:
As for the crystal system: trigonal.

Unit cell a=3.0088 b=3.0088 c=7.0137 alpha=90.00 beta=90.00 gamma=120.00
Space group P3m1 (No. 156)
Inequivalent atoms, fractional coordinates:
Mn (0.0000, 0.0000, 0.0000)
Be (0.3333, 0.6667, 0.7491)
Sb (0.3333, 0.6667, 0.3099)
N (0.6667, 0.3333, 0.7911)

arrangement b is favored, and the nearest alternative lies 14 meV per atom above it.

Arrangement a

## NaMn3Be (PBE)

Data for NaMn3Be after structural relaxation.

Values from the calculation:
As for the crystal system: cubic.

Unit cell a=4.579 b=4.579 c=4.579 alpha=90.00 beta=90.00 gamma=90.00
Space group Pm-3m (No. 221)
Inequivalent atoms, fractional coordinates:
Na (0.000, 0.000, 0.000)
Mn (0.000, 0.000, 0.500)
Be (0.500, 0.500, 0.500)

Arrangement b

## NaMn3Be (PBE)

Data for NaMn3Be after structural relaxation.

Values from the calculation:
As for the crystal system: cubic.

Unit cell a=4.392 b=4.392 c=4.392 alpha=90.00 beta=90.00 gamma=90.00
Space group Pm-3m (No. 221)
Inequivalent atoms, fractional coordinates:
Na (0.000, 0.000, 0.000)
Mn (0.000, 0.500, 0.500)
Be (0.500, 0.500, 0.500)

arrangement b is favored, and the nearest alternative lies 1217 meV per atom above it.

Arrangement a

## NaMnBe2Ni (PBE)

Data for NaMnBe2Ni after structural relaxation.

Values from the calculation:
As for the crystal system: tetragonal.

Unit cell a=4.185 b=4.185 c=4.777 alpha=90.00 beta=90.00 gamma=90.00
Space group P4/mmm (No. 123)
Inequivalent atoms, fractional coordinates:
Na (0.000, 0.000, 0.000)
Mn (0.000, 0.000, 0.500)
Be (0.000, 0.500, 0.500)
Ni (0.500, 0.500, 0.000)

Arrangement b

## NaMnBe2Ni (PBE)

Data for NaMnBe2Ni after structural relaxation.

Values from the calculation:
As for the crystal system: tetragonal.

Unit cell a=4.194 b=4.194 c=4.559 alpha=90.00 beta=90.00 gamma=90.00
Space group P4/mmm (No. 123)
Inequivalent atoms, fractional coordinates:
Na (0.000, 0.000, 0.000)
Mn (0.500, 0.500, 0.000)
Be (0.000, 0.500, 0.500)
Ni (0.500, 0.500, 0.500)

arrangement b is favored, and the nearest alternative lies 862 meV per atom above it.

Arrangement a

## NaMnBeP2 (PBE)

Data for NaMnBeP2 after structural relaxation.

Values from the calculation:
As for the crystal system: tetragonal.

Unit cell a=4.773 b=4.773 c=4.648 alpha=90.00 beta=90.00 gamma=90.00
Space group P4/mmm (No. 123)
Inequivalent atoms, fractional coordinates:
Na (0.000, 0.000, 0.000)
Mn (0.000, 0.000, 0.500)
Be (0.500, 0.500, 0.500)
P (0.000, 0.500, 0.000)

Arrangement b

## NaMnBeP2 (PBE)

Data for NaMnBeP2 after structural relaxation.

Values from the calculation:
As for the crystal system: tetragonal.

Unit cell a=3.668 b=3.668 c=12.300 alpha=90.00 beta=90.00 gamma=90.00
Space group I-4m2 (No. 119)
Inequivalent atoms, fractional coordinates:
Na (0.000, 0.000, 0.000)
Mn (0.000, 0.500, 0.250)
Be (0.000, 0.500, 0.750)
P (0.000, 0.000, 0.358)

arrangement b is favored, and the nearest alternative lies 2087 meV per atom above it.

Arrangement a

## MnBeNb3 (PBE)

Data for MnBeNb3 after structural relaxation.

Values from the calculation:
As for the crystal system: cubic.

Unit cell a=4.365 b=4.365 c=4.365 alpha=90.00 beta=90.00 gamma=90.00
Space group Pm-3m (No. 221)
Inequivalent atoms, fractional coordinates:
Mn (0.000, 0.000, 0.000)
Be (0.500, 0.500, 0.500)
Nb (0.000, 0.500, 0.500)

Arrangement b

## MnBeNb3 (PBE)

Data for MnBeNb3 after structural relaxation.

Values from the calculation:
As for the crystal system: cubic.

Unit cell a=4.560 b=4.560 c=4.560 alpha=90.00 beta=90.00 gamma=90.00
Space group Pm-3m (No. 221)
Inequivalent atoms, fractional coordinates:
Mn (0.000, 0.000, 0.000)
Be (0.500, 0.500, 0.500)
Nb (0.000, 0.000, 0.500)

arrangement a is favored, and the nearest alternative lies 71 meV per atom above it.

Arrangement a

## Mn2Be2Nb (PBE)

Data for Mn2Be2Nb after structural relaxation.

Values from the calculation:
As for the crystal system: tetragonal.

Unit cell a=6.587 b=6.587 c=2.638 alpha=90.00 beta=90.00 gamma=90.00
Space group P4/mbm (No. 127)
Inequivalent atoms, fractional coordinates:
Mn (0.113, 0.387, 0.000)
Be (0.178, 0.678, 0.500)
Nb (0.000, 0.000, 0.000)

Arrangement b

## Mn2Be2Nb (PBE)

Data for Mn2Be2Nb after structural relaxation.

Values from the calculation:
As for the crystal system: tetragonal.

Unit cell a=6.238 b=6.238 c=2.881 alpha=90.00 beta=90.00 gamma=90.00
Space group P4/mbm (No. 127)
Inequivalent atoms, fractional coordinates:
Mn (0.174, 0.326, 0.000)
Be (0.117, 0.617, 0.500)
Nb (0.000, 0.000, 0.500)

arrangement b is favored, and the nearest alternative lies 180 meV per atom above it.

Arrangement a

## MnBeNi5 (PBE)

Data for MnBeNi5 after structural relaxation.

Values from the calculation:
As for the crystal system: monoclinic.

Unit cell a=7.625 b=5.901 c=8.079 alpha=90.00 beta=114.46 gamma=90.00
Space group C2/c (No. 15)
Inequivalent atoms, fractional coordinates:
Mn (0.000, 0.066, 0.250)
Be (0.250, 0.250, 0.000)
Ni (0.000, 0.347, 0.750)
Ni (0.117, 0.370, 0.497)
Ni (0.223, 0.371, 0.252)

Arrangement b

## MnBeNi5 (PBE)

Data for MnBeNi5 after structural relaxation.

Values from the calculation:
As for the crystal system: tetragonal.

Unit cell a=3.556 b=3.556 c=6.048 alpha=90.00 beta=90.00 gamma=90.00
Space group P4/mmm (No. 123)
Inequivalent atoms, fractional coordinates:
Mn (0.000, 0.000, 0.000)
Be (0.500, 0.500, 0.500)
Ni (0.000, 0.500, 0.292)
Ni (0.500, 0.500, 0.000)

arrangement b is favored, and the nearest alternative lies 126 meV per atom above it.